[1]
PBE Pr3Tl2Au3, optimized geometry; calculated formation energy = -12.48 kcal/mol of atoms; SG = No. 71; total moment = 0.0 Bohr magnetons per cell; D(E_F) = 6.8 states/eV/cell
1.0
-3.7280 -0.5616 -0.3689
0.1568 -3.5548 3.8273
-0.1040 9.8175 5.5551
Au Pr Tl
3 3 2
direct
0.0000 0.5000 0.0000 Au
0.8875 0.8875 0.7751 Au
0.1125 0.1125 0.2249 Au
0.6280 0.6280 0.2560 Pr
0.3720 0.3720 0.7440 Pr
0.5000 0.0000 0.0000 Pr
0.2687 0.7687 0.5375 Tl
0.7313 0.2313 0.4625 Tl

=====

[2]
PBE Pr6Tl2Au, optimized geometry; calculated formation energy = -8.17 kcal/mol of atoms; SG = No. 189; total moment = 0.0 Bohr magnetons per cell; D(E_F) = 13.4 states/eV/cell
1.0
-1.4452 2.2670 2.8791
-4.8394 4.7176 -6.1437
-3.6265 -7.3724 3.9847
Pr Tl Au
6 2 1
direct
0.0000 0.7421 0.7422 Pr
0.5000 0.6019 0.0000 Pr
0.5000 0.3980 0.3980 Pr
0.0000 0.2580 0.0000 Pr
0.5000 0.0000 0.6020 Pr
0.0000 0.0000 0.2578 Pr
0.0000 0.6667 0.3334 Tl
0.0000 0.3333 0.6666 Tl
0.5000 0.0000 0.0000 Au

=====

[3]
PBE PrTm2Au4, optimized geometry; calculated formation energy = -13.99 kcal/mol of atoms; SG = No. 123; total moment = 0.0 Bohr magnetons per cell; D(E_F) = 4.8 states/eV/cell
1.0
5.0587 0.0000 0.0000
0.0000 5.0587 0.0000
0.0000 0.0000 6.8777
Tm Au Pr
2 4 1
direct
0.5000 0.5000 0.5000 Tm
0.0000 0.0000 0.0000 Tm
0.0000 0.5000 0.2622 Au
0.0000 0.5000 0.7378 Au
0.5000 0.0000 0.7378 Au
0.5000 0.0000 0.2622 Au
0.5000 0.5000 0.0000 Pr